# 1
Compound: PmTlGe
Source: OQMD
Functional: PBE
Structure: relaxed

Values from the calculation:
total magnetization: 0.013 Bohr magnetons per cell
calculated volume: 29.6 A^3/atom
E: -3.924 eV per atom

Lattice parameters (Å, degrees): 7.086 7.086 7.086 90.00 90.00 90.00
Space group F-43m (No. 216)
Unique sites:
Pm (0.000, 0.000, 0.000) (multiplicity 4)
Tl (0.250, 0.250, 0.750) (multiplicity 4)
Ge (0.000, 0.000, 0.500) (multiplicity 4)



# 2
Compound: ErPtNO
Source: OQMD
Functional: PBE
Structure: relaxed

Values from the calculation:
total magnetization: 0.003 Bohr magnetons per cell
energy relative to the lowest polymorph listed for this composition: 0.0 kJ/mol of atoms
calculated volume: 14.2 A^3/atom

Lattice parameters (Å, degrees): 5.553 7.637 5.346 90.00 90.00 90.00
Space group Pca2_1 (No. 29)
Unique sites:
Er (0.031, 0.138, 0.000) (multiplicity 4)
Pt (0.060, 0.465, 0.652) (multiplicity 4)
N (0.139, 0.342, 0.324) (multiplicity 4)
O (0.250, 0.971, 0.245) (multiplicity 4)



# 3
Compound: TbBiTeO2
Source: OQMD
Functional: PBE
Structure: relaxed

Values from the calculation:
total magnetization: 0.002 Bohr magnetons per cell
calculated volume: 19.7 A^3/atom
E: -6.269 eV per atom

Lattice parameters (Å, degrees): 3.962 3.962 12.566 90.00 90.00 90.00
Space group I4mm (No. 107)
Unique sites:
Tb (0.000, 0.000, 0.000) (multiplicity 2)
Bi (0.000, 0.000, 0.313) (multiplicity 2)
Te (0.000, 0.000, 0.653) (multiplicity 2)
O (0.000, 0.500, 0.411) (multiplicity 4)



# 4
Compound: Pr2Gd2CBr5
Source: OQMD
Functional: PBE
Structure: relaxed

Values from the calculation:
total magnetization: 0.193 Bohr magnetons per cell
calculated volume: 29.8 A^3/atom
E: -5.083 eV per atom

Lattice parameters (Å, degrees): 18.221 3.943 8.514 90.00 102.70 90.00
Space group C2/m (No. 12)
Unique sites:
Pr (0.002, 0.000, 0.294) (multiplicity 4)
Gd (0.137, 0.500, 0.570) (multiplicity 4)
C (0.000, 0.500, 0.500) (multiplicity 2)
Br (0.000, 0.500, 0.000) (multiplicity 2)
Br (0.167, 0.000, 0.824) (multiplicity 4)
Br (0.174, 0.000, 0.343) (multiplicity 4)



# 5
Compound: NdHfGe
Source: OQMD
Functional: PBE
Structure: relaxed

Values from the calculation:
total magnetization: 0.001 Bohr magnetons per cell
calculated volume: 25.6 A^3/atom
E: -6.658 eV per atom

Lattice parameters (Å, degrees): 6.749 6.749 6.749 90.00 90.00 90.00
Space group F-43m (No. 216)
Unique sites:
Nd (0.000, 0.000, 0.000) (multiplicity 4)
Hf (0.000, 0.000, 0.500) (multiplicity 4)
Ge (0.250, 0.250, 0.750) (multiplicity 4)



# 6
Compound: Dy2Y2CI3Br2
Source: OQMD
Functional: PBE
Structure: relaxed

Values from the calculation:
total magnetization: 0.714 Bohr magnetons per cell
energy relative to the lowest polymorph listed for this composition: 0.1 kJ/mol of atoms
calculated volume: 30.3 A^3/atom

Lattice parameters (Å, degrees): 18.558 3.923 8.502 90.00 101.69 90.00
Space group C2/m (No. 12)
Unique sites:
Dy (0.132, 0.000, 0.066) (multiplicity 4)
Y (0.001, 0.500, 0.809) (multiplicity 4)
C (0.000, 0.000, 0.000) (multiplicity 2)
I (0.000, 0.000, 0.500) (multiplicity 2)
I (0.172, 0.500, 0.818) (multiplicity 4)
Br (0.157, 0.500, 0.318) (multiplicity 4)



# 7
Compound: HoBePb
Source: OQMD
Functional: PBE
Structure: relaxed

Values from the calculation:
total magnetization: 0.004 Bohr magnetons per cell
calculated volume: 27.0 A^3/atom
E: -3.516 eV per atom

Lattice parameters (Å, degrees): 6.864 6.864 6.864 90.00 90.00 90.00
Space group F-43m (No. 216)
Unique sites:
Ho (0.000, 0.000, 0.000) (multiplicity 4)
Be (0.250, 0.250, 0.750) (multiplicity 4)
Pb (0.250, 0.250, 0.250) (multiplicity 4)



# 8
Compound: NdTm2Mg3Ir2Pt
Source: OQMD
Functional: PBE
Structure: relaxed

Values from the calculation:
total magnetization: 0.008 Bohr magnetons per cell
calculated volume: 21.0 A^3/atom
E: -5.450 eV per atom

Lattice parameters (Å, degrees): 4.047 12.744 7.321 90.00 90.00 90.00
Space group Amm2 (No. 38)
Unique sites:
Nd (0.000, 0.000, 0.000) (multiplicity 2)
Tm (0.000, 0.206, 0.622) (multiplicity 4)
Mg (0.500, 0.000, 0.661) (multiplicity 2)
Mg (0.500, 0.125, 0.295) (multiplicity 4)
Ir (0.500, 0.172, 0.914) (multiplicity 4)
Pt (0.000, 0.000, 0.424) (multiplicity 2)



Repeat the sixth record exactly.
Compound: Dy2Y2CI3Br2
Source: OQMD
Functional: PBE
Structure: relaxed

Values from the calculation:
total magnetization: 0.714 Bohr magnetons per cell
energy relative to the lowest polymorph listed for this composition: 0.1 kJ/mol of atoms
calculated volume: 30.3 A^3/atom

Lattice parameters (Å, degrees): 18.558 3.923 8.502 90.00 101.69 90.00
Space group C2/m (No. 12)
Unique sites:
Dy (0.132, 0.000, 0.066) (multiplicity 4)
Y (0.001, 0.500, 0.809) (multiplicity 4)
C (0.000, 0.000, 0.000) (multiplicity 2)
I (0.000, 0.000, 0.500) (multiplicity 2)
I (0.172, 0.500, 0.818) (multiplicity 4)
Br (0.157, 0.500, 0.318) (multiplicity 4)



- Which value of total magnetization does entry 4 give?
  0.193 Bohr magnetons per cell



Repeat the second record exactly.
Compound: ErPtNO
Source: OQMD
Functional: PBE
Structure: relaxed

Values from the calculation:
total magnetization: 0.003 Bohr magnetons per cell
energy relative to the lowest polymorph listed for this composition: 0.0 kJ/mol of atoms
calculated volume: 14.2 A^3/atom

Lattice parameters (Å, degrees): 5.553 7.637 5.346 90.00 90.00 90.00
Space group Pca2_1 (No. 29)
Unique sites:
Er (0.031, 0.138, 0.000) (multiplicity 4)
Pt (0.060, 0.465, 0.652) (multiplicity 4)
N (0.139, 0.342, 0.324) (multiplicity 4)
O (0.250, 0.971, 0.245) (multiplicity 4)